Record 1
! ZnWF5, relaxed, DFT GGA+U; values from VASP
&SYSTEM
  ibrav = 0, nat = 14, ntyp = 3
/
ATOMIC_SPECIES
Zn 65.41 Zn.upf
W 183.84 W.upf
F 19.00 F.upf
CELL_PARAMETERS angstrom
4.306 -3.544 0.000
4.306 3.544 0.000
-3.788 0.000 7.251
ATOMIC_POSITIONS angstrom
Zn 1.465 3.209 5.438
Zn 3.359 -3.209 1.813
W 4.306 0.000 0.000
W 2.412 0.000 3.625
F -1.247 0.436 6.164
F 1.949 2.044 3.928
F 0.982 2.044 6.948
F 0.648 -0.436 2.538
F 3.359 0.557 1.813
F 1.465 -0.557 5.438
F 4.177 0.436 4.712
F 3.843 -2.044 0.303
F 2.876 -2.044 3.323
F 6.071 -0.436 1.087
! ΔE to the lowest computed polymorph	0	meV per atom

=====

Record 2
! ZnWF4, relaxed, DFT GGA+U; values from VASP
&SYSTEM
  ibrav = 0, nat = 12, ntyp = 3
/
ATOMIC_SPECIES
Zn 65.41 Zn.upf
W 183.84 W.upf
F 19.00 F.upf
CELL_PARAMETERS angstrom
5.458 0.000 0.000
-0.929 5.430 0.000
-0.876 -1.639 6.314
ATOMIC_POSITIONS angstrom
Zn 0.000 0.000 0.000
Zn 1.128 3.867 2.387
W -0.565 0.718 3.725
W 3.289 1.592 0.155
F -0.661 4.787 2.320
F 0.767 2.348 3.657
F 1.005 -0.250 4.837
F 2.107 0.004 0.827
F 1.671 2.828 0.825
F 3.378 -0.747 3.564
F 3.898 1.829 2.202
F 3.675 1.500 5.423
! ΔE to the lowest computed polymorph	30	meV per atom

=====

Record 3
Entry from the Alexandria database: crystalline Zn2WF11 at its relaxed geometry (GGA+U). Values from VASP.

```
&SYSTEM
  ibrav = 0, nat = 28, ntyp = 3
/
ATOMIC_SPECIES
Zn 65.41 Zn.upf
W 183.84 W.upf
F 19.00 F.upf
CELL_PARAMETERS angstrom
-3.436 5.085 5.411
3.436 -5.085 5.411
3.436 5.085 -5.411
ATOMIC_POSITIONS angstrom
Zn 1.267 1.645 0.000
Zn 1.267 -1.645 5.411
Zn 2.169 6.730 0.000
Zn 2.169 3.441 5.411
W 3.436 0.000 2.705
W 0.000 5.085 2.705
F 0.000 0.000 0.000
F 2.807 -1.270 1.434
F 5.103 -0.886 1.824
F 2.752 -2.953 5.411
F 4.066 -1.270 3.976
F 1.770 -0.886 3.587
F 1.770 0.886 1.824
F 4.066 1.270 1.434
F 2.752 2.953 0.000
F 1.667 5.971 -1.824
F 2.807 1.270 3.976
F 0.000 0.000 5.411
F 0.630 3.815 1.434
F 1.770 -0.886 7.235
F 0.684 2.132 5.411
F -0.630 3.815 3.976
F 1.667 4.200 3.587
F 1.667 5.971 1.824
F -0.630 6.355 1.434
F 0.684 8.038 0.000
F -1.667 5.971 3.587
F 0.630 6.355 3.976
```

=====

Record 4
! ZnWF2, relaxed, DFT GGA+U; values from VASP
&SYSTEM
  ibrav = 0, nat = 4, ntyp = 3
/
ATOMIC_SPECIES
Zn 65.41 Zn.upf
W 183.84 W.upf
F 19.00 F.upf
CELL_PARAMETERS angstrom
0.000 3.076 3.076
3.076 0.000 3.076
3.076 3.076 0.000
ATOMIC_POSITIONS angstrom
Zn 0.000 0.000 0.000
W 3.076 3.076 3.076
F 1.538 1.538 1.538
F 4.614 4.614 4.614
! ΔE to the lowest computed polymorph	604	meV per atom

=====

Number 1: ρ 5.165 g/cm3, spin magnetization 0.429 μB/atom, DFT total energy -4.97 eV/atom. Number 2: ρ 5.772 g/cm3, spin magnetization 0.502 μB/atom, DFT total energy -4.77 eV/atom. Number 3: ρ 4.598 g/cm3, spin magnetization 0.078 μB/atom, DFT total energy -4.31 eV/atom. Number 4: ρ 8.195 g/cm3, spin magnetization 1.000 μB/atom, DFT total energy -3.40 eV/atom.